Entry 1:
An optimized crystal structure of RhSe. Source: Alexandria, functional PBE-GGA.

Unit cell a=3.4451 b=3.4451 c=8.1026 alpha=90.00 beta=90.00 gamma=120.00
Closest atoms and distances in Å follow each position.
Atoms (fractional coordinates):
Rh: 0.3333 0.6667 0.1272  3 Se 2.38
Rh: 0.6667 0.3333 0.8728  3 Se 2.38
Se: 0.3333 0.6667 0.7111  3 Rh 2.38
Se: 0.6667 0.3333 0.2889  3 Rh 2.38

Values from the calculation:
**Formation energy without anion corrections**: -0.46 eV per formula unit
**Total magnetization**: 0.0 μB/f.u.

Entry 2:
An optimized crystal structure of CsLiCu2Br4. Source: Alexandria, functional PBE-GGA.

Unit cell a=7.2159 b=7.2159 c=7.2159 alpha=124.56 beta=105.96 gamma=99.08
Closest atoms and distances in Å follow each position.
Atoms (fractional coordinates):
Cs: 0.0000 0.0000 0.0000  8 Br 3.78-3.79
Li: 0.5000 0.5000 0.0000  4 Br 2.58
Cu: 0.3615 0.8615 0.5000  2 Br 2.28
Cu: 0.6385 0.1385 0.5000  2 Br 2.28
Br: 0.1793 0.1063 0.6086  1 Cu 2.28
Br: 0.4977 0.5707 0.3914  1 Cu 2.28
Br: 0.5023 0.8937 0.0730  1 Cu 2.28
Br: 0.8207 0.4293 0.9270  1 Cu 2.28

Values from the calculation:
**Formation energy without anion corrections**: -7.82 eV per formula unit
**Total magnetization**: 0.0 μB/f.u.

Entry 3:
An optimized crystal structure of CSeBr2Cl. Source: Alexandria, functional PBE-GGA.

Unit cell a=4.8031 b=4.8031 c=4.4020 alpha=90.00 beta=90.00 gamma=90.00
Closest atoms and distances in Å follow each position.
Atoms (fractional coordinates):
C: 0.0000 0.0000 0.0000  2 Se 2.20, 4 Br 2.40
Se: 0.0000 0.0000 0.5000  2 C 2.20
Br: 0.0000 0.5000 0.0000  2 C 2.40
Br: 0.5000 0.0000 0.0000  2 C 2.40
Cl: 0.5000 0.5000 0.5000  8 Br 3.26, 4 Se 3.40

Values from the calculation:
**Formation energy without anion corrections**: 6.12 eV per formula unit
**Total magnetization**: 0.0 μB/f.u.
**Distance to the lowest polymorph of the same formula**: 0 meV/atom